NdThRh2 | Alexandria via LeMat-Bulk | PBE | optimized geometry; VASP energy = -29.61 eV for the cell shown; total magnetization = 0.000 μB per atom; D(E_F) = 3.57 states/eV/cell; SG = R3m; DFT formation energy = -2.7 eV/f.u.; E above lowest polymorph = 0.1540 eV/atom
1.0
-3.3876 2.1041 0.5043
-3.4787 -1.9125 0.6314
-1.1332 0.2578 7.3322
Th Rh Nd
1 2 1
Direct
0.6690 0.6690 0.9930 Th
0.0797 0.0797 0.7608 Rh
0.2545 0.2545 0.2366 Rh
0.4968 0.4968 0.5097 Nd

---

NdTh2Rh | Alexandria via LeMat-Bulk | PBE | optimized geometry; VASP energy = -27.36 eV for the cell shown; total magnetization = 0.000 μB per atom; D(E_F) = 6.52 states/eV/cell; SG = R-3m; DFT formation energy = -0.4 eV/f.u.; E above lowest polymorph = 0.3510 eV/atom
1.0
3.7989 0.0000 0.0000
1.8995 3.2900 0.0000
1.8995 1.0967 10.3520
Th Nd Rh
2 1 1
Direct
0.8907 0.8907 0.3278 Th
0.1093 0.1093 0.6722 Th
0.0000 0.0000 0.0000 Nd
0.5000 0.5000 0.5000 Rh